Entry 1:
# Zr5Mn2Tl2

A relaxed Zr5Mn2Tl2 crystal (PBE, Alexandria via LeMat-Bulk).

Lattice parameters (Å, degrees): 15.1315 7.6099 6.6771 90.00 90.00 90.00
Closest atoms and distances in Å follow each position.
Space group Cmce (No. 64)
Symmetry-distinct sites (fractional):
Zr 0.0000 0.0000 0.0000 x4  2 Mn 2.72
Zr 0.1135 0.1910 0.3277 x16  3 Mn 2.63-2.86
Mn 0.0000 0.1053 0.6101 x8  1 Mn 2.18
Tl 0.2244 0.0000 0.0000 x8  7 Zr 3.07-3.40, 2 Tl 3.43

* E_form: -0.020 eV/atom
* density of states at the Fermi level: 41.645 states/eV per cell
* electronic total energy: -7.3321 eV/atom


Entry 2:
# CaYAl

A relaxed CaYAl crystal (PBE, Alexandria via LeMat-Bulk).

Lattice parameters (Å, degrees): 5.3806 3.8424 8.5092 90.00 108.37 90.00
Closest atoms and distances in Å follow each position.
Space group Pm (No. 6)
Symmetry-distinct sites (fractional):
Ca 0.0000 0.0000 0.0000 x1  6 Al 3.33-3.34, 2 Y 3.47, 2 Ca 3.55
Ca 0.1843 0.5000 0.3691 x1  6 Y 3.31-3.48, 2 Ca 3.55, 4 Al 3.58-3.70
Y 0.3647 0.0000 0.7288 x1  6 Al 3.26-3.35, 4 Ca 3.47-3.48
Y 0.6781 0.0000 0.3568 x1  4 Al 3.10-3.13, 4 Ca 3.31
Al 0.5274 0.5000 0.0548 x1  4 Y 3.10-3.26, 4 Ca 3.34
Al 0.8322 0.5000 0.6630 x1  6 Y 3.13-3.35, 2 Ca 3.33

* E_form: -0.145 eV/atom
* density of states at the Fermi level: 4.446 states/eV per cell
* electronic total energy: -4.2142 eV/atom